[1]
The following is a DFT calculation (GGA-PBE) of an optimized crystal structure of TePtAu2.

Cell lengths 6.631, 6.631, 6.631 Å; angles 152.31, 140.68, 48.77 degrees
Fractional coordinates of all 4 atoms:
Au 0.319 0.819 0.500
Au 0.968 0.968 0.000
Te 0.695 0.195 0.500
Pt 0.518 0.518 0.000

## Properties
Total DFT energy (no corrections), eV/atom: -3.86
Formation energy (no corrections), eV/atom: 0.07
Total magnetization, μB/cell: 0.00

=====

[2]
The following is a DFT calculation (GGA-PBE) of an optimized crystal structure of TePt2Au.

Cell lengths 3.572, 3.581, 6.777 Å; angles 58.10, 90.00, 90.00 degrees
Fractional coordinates of all 4 atoms:
Au 0.500 0.750 0.750
Te 0.500 0.250 0.250
Pt 0.000 0.498 0.502
Pt 0.000 0.002 0.998

## Properties
Total DFT energy (no corrections), eV/atom: -4.56
Formation energy (no corrections), eV/atom: 0.07
Total magnetization, μB/cell: 0.00

=====

[3]
The following is a DFT calculation (GGA-PBE) of an optimized crystal structure of TePt2Au.

Cell lengths 7.486, 7.486, 5.986 Å; angles 51.29, 51.29, 90.00 degrees
Fractional coordinates of all 8 atoms:
Au 0.750 0.250 0.500
Au 0.000 0.000 0.000
Pt 0.375 0.386 0.750
Pt 0.875 0.864 0.750
Pt 0.136 0.625 0.250
Pt 0.614 0.125 0.250
Te 0.250 0.750 0.500
Te 0.500 0.500 0.000

## Properties
Total DFT energy (no corrections), eV/atom: -4.53
Formation energy (no corrections), eV/atom: 0.09
Total magnetization, μB/cell: 0.00